1.
10
Lattice="4.621 0.000 0.000 -2.310 8.526 0.000 0.000 0.000 8.489" Properties=species:S:1:pos:R:3 comment="Na2TePbSe (PBE-GGA, relaxed)" de_polymorph_mev_per_atom=0 dft_energy_ev_per_cell=-33.45 raw_formation_energy_ev_per_atom=-0.7505 pbc="T T T"
Na 0.000 2.849 8.362
Na 2.310 5.677 4.118
Na 0.000 2.849 4.371
Na 2.310 5.677 0.127
Pb 2.310 0.357 6.367
Pb 0.000 8.169 2.122
Te 0.000 5.072 2.122
Te 2.310 3.454 6.367
Se 0.000 0.000 4.245
Se 0.000 0.000 0.000

***

2.
4
Lattice="4.701 0.000 0.000 0.000 4.178 0.000 0.000 0.000 4.178" Properties=species:S:1:pos:R:3 comment="BaAsOs2 (PBE-GGA, relaxed)" dft_energy_ev_per_cell=-23.78 formation_enthalpy_0k_ev_per_fu=5.248 dos_at_fermi_per_ev_cell=5.445 pbc="T T T"
As 2.351 2.089 0.000
Ba 2.351 0.000 2.089
Os 0.000 0.000 0.000
Os 0.000 2.089 2.089

***

3.
10
Lattice="-0.185 -1.275 3.214 1.089 -3.077 -1.157 16.048 4.640 2.762" Properties=species:S:1:pos:R:3 comment="Tb5Ir4Ru (PBE-GGA, relaxed)" dft_energy_ev_per_cell=-74.66 formation_enthalpy_0k_ev_per_fu=-6.791 dos_at_fermi_per_ev_cell=7.614 pbc="T T T"
Ir 9.630 2.784 1.658
Ir 12.834 3.710 2.209
Ir 3.214 0.929 0.553
Ir 6.418 1.855 1.105
Ru 0.000 0.000 0.000
Tb 14.917 2.007 3.518
Tb 8.476 0.144 2.410
Tb 2.035 -1.718 1.301
Tb 11.693 1.075 2.964
Tb 5.258 -0.786 1.856

***

4.
9
Lattice="5.575 0.000 0.000 -2.788 4.828 0.000 0.000 0.000 7.251" Properties=species:S:1:pos:R:3 comment="DyZn2Au6 (PBE-GGA, relaxed)" dft_energy_ev_per_cell=-29.46 formation_enthalpy_0k_ev_per_fu=-2.646 dos_at_fermi_per_ev_cell=4.560 pbc="T T T"
Au 2.789 0.000 5.780
Au 1.395 2.415 1.472
Au 1.393 2.413 5.780
Au 2.786 0.000 1.472
Au -1.395 2.415 5.780
Au -1.393 2.413 1.472
Zn 2.788 1.609 3.626
Zn 0.000 3.219 3.626
Dy 0.000 0.000 0.000

***

5.
16
Lattice="-2.609 0.890 -8.021 5.038 -6.515 -2.362 -5.671 -1.117 6.205" Properties=species:S:1:pos:R:3 comment="Dy8SbTe4Se3 (PBE-GGA, relaxed)" dft_energy_ev_per_cell=-87.26 raw_formation_energy_ev_per_atom=-1.4566 dos_at_fermi_per_ev_cell=5.029 pbc="T T T"
Dy -3.791 -5.146 -1.493
Dy -2.216 -2.209 0.476
Dy 0.190 -5.036 -0.621
Dy -0.705 -1.168 -6.540
Dy 0.549 -1.596 -2.684
Dy -2.537 -5.573 2.362
Dy -1.027 -4.533 -4.653
Dy -3.432 -1.705 -3.557
Te -1.305 0.445 -4.010
Te -2.835 -0.558 3.103
Te -4.140 -0.113 -0.908
Te 0.000 0.000 0.000
Se -0.317 -3.816 1.922
Se 1.214 -2.813 -5.191
Se -1.621 -3.371 -2.089
Sb 2.519 -3.258 -1.181

***

6.
8
Lattice="-2.002 3.900 4.952 -5.736 -3.280 0.267 6.470 -4.504 1.745" Properties=species:S:1:pos:R:3 comment="MgCdHg2Te4 (PBE-GGA, relaxed)" dft_energy_ev_per_cell=-18.96 raw_formation_energy_ev_per_atom=-0.4095 dos_at_fermi_per_ev_cell=0.149 pbc="T T T"
Te -2.308 1.055 4.836
Te -4.154 -2.494 2.520
Te 3.875 -3.319 1.997
Te 0.052 -3.013 4.576
Cd -1.268 -3.884 6.964
Hg 0.300 -0.147 4.653
Hg -1.568 -3.737 2.311
Mg -3.869 0.309 2.610